No. 1
{
  "formula": "YTc2Te",
  "functional": "SCAN",
  "state": "single point on PBEsol structure",
  "lattice_angstrom": [[-3.019, 0.872, 0.139], [-1.143, -3.705, -1.567], [-0.363, -2.086, 5.198]],
  "species": ["Tc", "Tc", "Te", "Y"],
  "frac_coords": [[0.000, 0.000, 0.031], [0.500, 0.500, 0.227], [0.000, 0.000, 0.482], [0.500, 0.500, 0.761]],
  "formation_energy_uncorrected_ev_per_fu": 0.5
}

***

No. 2
{
  "formula": "Y2TcTe2",
  "functional": "SCAN",
  "state": "single point on PBEsol structure",
  "lattice_angstrom": [[4.030, 0.000, 0.000], [0.000, 4.030, 0.000], [-2.015, -2.015, 8.151]],
  "species": ["Y", "Y", "Te", "Te", "Tc"],
  "frac_coords": [[0.405, 0.405, 0.810], [0.595, 0.595, 0.190], [0.250, 0.750, 0.500], [0.750, 0.250, 0.500], [0.000, 0.000, 0.000]],
  "formation_energy_uncorrected_ev_per_fu": 0.4
}

***

No. 3
{
  "formula": "YTc2Te",
  "functional": "SCAN",
  "state": "single point on PBEsol structure",
  "lattice_angstrom": [[-2.927, 1.562, -0.072], [-0.583, -0.948, 3.127], [2.886, 5.508, 2.208]],
  "species": ["Tc", "Tc", "Te", "Y"],
  "frac_coords": [[0.000, 0.000, 0.777], [0.000, 0.000, 0.223], [0.500, 0.500, 0.000], [0.500, 0.500, 0.500]],
  "formation_energy_uncorrected_ev_per_fu": 0.5
}

***

No. 4
{
  "formula": "ZnTcTe2",
  "functional": "SCAN",
  "state": "single point on PBEsol structure",
  "lattice_angstrom": [[-0.649, 0.637, -3.205], [1.655, -4.333, -1.196], [-4.397, -1.825, 0.528]],
  "species": ["Tc", "Te", "Te", "Zn"],
  "frac_coords": [[0.500, 0.000, 0.000], [0.000, 0.000, 0.500], [0.000, 0.500, 0.000], [0.500, 0.500, 0.500]],
  "formation_energy_uncorrected_ev_per_fu": 2.3
}

***

No. 5
{
  "formula": "ZrTc4Te",
  "functional": "SCAN",
  "state": "single point on PBEsol structure",
  "lattice_angstrom": [[-3.729, -1.790, 3.149], [-1.335, -5.022, -0.145], [1.227, -3.131, 3.964]],
  "species": ["Tc", "Tc", "Tc", "Tc", "Te", "Zr"],
  "frac_coords": [[0.376, 0.376, 0.376], [0.376, 0.376, 0.873], [0.873, 0.376, 0.376], [0.376, 0.873, 0.376], [0.750, 0.750, 0.750], [0.000, 0.000, 0.000]],
  "formation_energy_uncorrected_ev_per_fu": 0.5
}

***

No. 6
{
  "formula": "Zr3TcTe",
  "functional": "SCAN",
  "state": "single point on PBEsol structure",
  "lattice_angstrom": [[5.120, 0.000, 0.000], [0.000, 5.120, 0.000], [0.000, 0.000, 5.120]],
  "species": ["Te", "Tc", "Zr", "Zr", "Zr"],
  "frac_coords": [[0.000, 0.000, 0.000], [0.500, 0.500, 0.500], [0.000, 0.500, 0.000], [0.000, 0.000, 0.500], [0.500, 0.000, 0.000]],
  "polymorph_energy_mev_per_atom": 923.8,
  "formation_energy_uncorrected_ev_per_fu": 5.2
}

***

No. 7
{
  "formula": "Zr3TcTe",
  "functional": "SCAN",
  "state": "single point on PBEsol structure",
  "lattice_angstrom": [[-2.093, -4.460, -0.322], [4.390, -1.982, -1.086], [0.851, -0.747, 4.806]],
  "species": ["Te", "Tc", "Zr", "Zr", "Zr"],
  "frac_coords": [[0.500, 0.500, 0.500], [0.000, 0.000, 0.000], [0.000, 0.500, 0.000], [0.000, 0.000, 0.500], [0.500, 0.000, 0.000]],
  "polymorph_energy_mev_per_atom": 0.0,
  "formation_energy_uncorrected_ev_per_fu": 0.6
}

***

No. 8
{
  "formula": "ZrTcTe2",
  "functional": "SCAN",
  "state": "single point on PBEsol structure",
  "lattice_angstrom": [[3.252, 0.000, 0.000], [0.000, 3.252, 0.000], [0.000, 0.000, 8.484]],
  "species": ["Tc", "Te", "Te", "Zr"],
  "frac_coords": [[0.500, 0.500, 0.748], [0.000, 0.000, 0.918], [0.500, 0.500, 0.298], [0.000, 0.000, 0.536]],
  "polymorph_energy_mev_per_atom": 0.0,
  "formation_energy_uncorrected_ev_per_fu": -1.5
}

***

No. 9
{
  "formula": "ZrTcTe2",
  "functional": "SCAN",
  "state": "single point on PBEsol structure",
  "lattice_angstrom": [[-1.867, 1.990, 2.035], [-2.446, -2.272, -2.869], [0.638, -4.069, 4.565]],
  "species": ["Tc", "Te", "Te", "Zr"],
  "frac_coords": [[0.500, 0.000, 0.000], [0.755, 0.510, 0.777], [0.245, 0.490, 0.223], [0.000, 0.000, 0.500]],
  "polymorph_energy_mev_per_atom": 282.7,
  "formation_energy_uncorrected_ev_per_fu": -0.3
}

***

No. 10
{
  "formula": "ZrTc2Te",
  "functional": "SCAN",
  "state": "single point on PBEsol structure",
  "lattice_angstrom": [[-1.840, -1.554, 1.849], [-0.238, -0.800, -2.919], [6.052, -5.848, 1.108]],
  "species": ["Tc", "Tc", "Te", "Zr"],
  "frac_coords": [[0.000, 0.000, 0.247], [0.000, 0.000, 0.753], [0.500, 0.500, 0.500], [0.500, 0.500, 0.000]],
  "formation_energy_uncorrected_ev_per_fu": 1.5
}

***

No. 11
{
  "formula": "TiTc",
  "functional": "SCAN",
  "state": "single point on PBEsol structure",
  "lattice_angstrom": [[-0.992, -2.709, -1.038], [1.974, -1.435, 1.857], [-2.126, -0.067, 2.208]],
  "species": ["Tc", "Ti"],
  "frac_coords": [[0.000, 0.000, 0.000], [0.500, 0.500, 0.500]],
  "dft_energy_ev_per_atom": -26.12
}

***

No. 12
{
  "formula": "TiVTc2",
  "functional": "SCAN",
  "state": "single point on PBEsol structure",
  "lattice_angstrom": [[4.276, 0.000, 0.000], [2.138, 3.703, 0.000], [2.138, 1.234, 3.491]],
  "species": ["Ti", "Tc", "Tc", "V"],
  "frac_coords": [[0.500, 0.500, 0.500], [0.250, 0.250, 0.250], [0.750, 0.750, 0.750], [0.000, 0.000, 0.000]],
  "dft_energy_ev_per_atom": -26.46
}